First-principles (PBE with a Hubbard U) data for Na2ErMoPO8 after structural relaxation, as listed in the Alexandria database.

Summary:
- Fermi-level density of states (states/eV/f.u.) = 0.00
- uncorrected energy (eV/f.u.) = -90.46
- spin magnetization (μB per atom) = 0.00

```
data_Na2ErMoPO8
_chemical_formula_sum 'Na16 Er8 Mo8 P8 O64'
_symmetry_space_group_name_H-M 'I b c a'
_symmetry_Int_Tables_number 73
_symmetry_space_group_name_Hall '-I 2b 2c'
_cell_length_a 6.904
_cell_length_b 12.145
_cell_length_c 18.199
_cell_angle_alpha 90.00
_cell_angle_beta 90.00
_cell_angle_gamma 90.00
loop_
_atom_site_label
_atom_site_fract_x
_atom_site_fract_y
_atom_site_fract_z
Na1 0.005 0.054 0.154
Er1 0.250 0.178 0.500
Mo1 0.000 0.250 0.323
P1 0.250 0.069 0.000
O1 0.041 0.129 0.769
O2 0.074 0.149 0.007
O3 0.212 0.226 0.380
O4 0.240 0.008 0.568
```